# 1
DFT (PBE) results for an optimized crystal structure of CsCd4In2Hg.

Summary:
DFT formation energy   -21 meV per atom
DOS at the Fermi energy   0.316 states/eV per atom
Volume   31.5 Å³ per atom

a b c (Å): 11.822 11.822 11.822
angles (deg): 24.61 24.61 24.61
Positions (direct):
Cs 0.000 0.000 0.000
Cd 0.136 0.136 0.136
Cd 0.410 0.410 0.410
Cd 0.590 0.590 0.590
Cd 0.864 0.864 0.864
In 0.238 0.238 0.238
In 0.762 0.762 0.762
Hg 0.500 0.500 0.500

# 2
DFT (PBE) results for an optimized crystal structure of Tl2CoRu.

Summary:
DFT formation energy   464 meV per atom
E above lowest polymorph   0.0 kJ/mol of atoms
DOS at the Fermi energy   0.829 states/eV per atom
Volume   20.1 Å³ per atom

a b c (Å): 3.113 3.113 8.276
angles (deg): 90.00 90.00 90.00
Positions (direct):
Tl 0.000 0.000 0.000
Tl 0.500 0.500 0.361
Co 0.000 0.000 0.611
Ru 0.500 0.500 0.746

# 3
DFT (PBE) results for an optimized crystal structure of Ac2NiCl.

Summary:
E above lowest polymorph   0.0 kJ/mol of atoms
Formation energy (no corrections)   -0.940 eV per atom
DOS at the Fermi energy   0.709 states/eV per atom
Volume   31.8 Å³ per atom

a b c (Å): 8.300 8.300 8.300
angles (deg): 30.06 30.06 30.06
Positions (direct):
Ac 0.233 0.233 0.233
Ac 0.767 0.767 0.767
Ni 0.500 0.500 0.500
Cl 0.000 0.000 0.000

# 4
DFT (PBE) results for an optimized crystal structure of Al8PtRh2.

Summary:
DFT formation energy   -581 meV per atom
DOS at the Fermi energy   0.294 states/eV per atom
Volume   15.5 Å³ per atom

a b c (Å): 7.358 7.358 4.122
angles (deg): 104.99 104.99 53.15
Positions (direct):
Al 0.000 0.000 0.000
Al 0.170 0.142 0.659
Al 0.269 0.508 0.892
Al 0.359 0.213 0.284
Al 0.492 0.731 0.108
Al 0.667 0.333 0.500
Al 0.787 0.641 0.716
Al 0.858 0.830 0.341
Pt 0.266 0.734 0.500
Rh 0.604 0.083 0.836
Rh 0.917 0.396 0.164

# 5
DFT (PBE) results for an optimized crystal structure of VFeC2.

Summary:
DFT formation energy   88 meV per atom
DOS at the Fermi energy   0.610 states/eV per atom
Volume   8.5 Å³ per atom

a b c (Å): 2.615 2.740 4.734
angles (deg): 90.00 90.00 90.00
Positions (direct):
V 0.000 0.000 0.000
Fe 0.000 0.500 0.503
C 0.500 0.000 0.341
C 0.500 0.500 0.830

# 6
DFT (PBE) results for an optimized crystal structure of Sm4PbI.

Summary:
Formation energy (no corrections)   -0.256 eV per atom
DOS at the Fermi energy   1.177 states/eV per atom
Volume   34.7 Å³ per atom

a b c (Å): 6.672 7.577 9.210
angles (deg): 72.28 70.13 81.26
Positions (direct):
Sm 0.046 0.095 0.255
Sm 0.231 0.650 0.188
Sm 0.308 0.584 0.632
Sm 0.450 0.035 0.686
Sm 0.550 0.965 0.314
Sm 0.692 0.416 0.368
Sm 0.769 0.350 0.812
Sm 0.954 0.905 0.745
Pb 0.170 0.284 0.477
Pb 0.830 0.716 0.523
I 0.000 0.500 0.000
I 0.500 0.000 0.000

E_tot across the listed records, respectively: -1.307; -4.814; -4.901; -5.188; -8.919; -4.278 eV/atom.